Record 1
The following is a DFT calculation (PBE) of a relaxed CaZnClO2 crystal.

POSCAR file:
```
CaZnClO2
1.0
3.968 0.000 0.000
0.000 4.865 0.000
0.000 0.000 3.968
Cl O Ca Zn
1 2 1 1
Direct
0.000 0.500 0.000
0.000 0.000 0.500
0.500 0.000 0.000
0.500 0.500 0.500
0.000 0.000 0.000
```

Energy relative to the elements, uncorrected ... -30.3 kcal/mol of atoms
Density ... 3.75 g cm⁻³
Magnetization ... 0.0 μB/f.u.

=====

Record 2
The following is a DFT calculation (PBE) of a relaxed Ca2ZrClO crystal.

POSCAR file:
```
Ca2ZrClO
1.0
5.596 0.000 0.000
0.000 5.596 0.000
0.000 0.000 4.090
Ca Cl O Zr
2 1 1 1
Direct
0.000 0.500 0.000
0.500 0.000 0.000
0.500 0.500 0.500
0.000 0.000 0.000
0.000 0.000 0.500
```

Energy relative to the elements, uncorrected ... -25.0 kcal/mol of atoms
Density ... 2.89 g cm⁻³
Magnetization ... 1.4 μB/f.u.

=====

Record 3
The following is a DFT calculation (PBE) of a relaxed CaOsCl crystal.

POSCAR file:
```
CaOsCl
1.0
-1.690 0.325 4.664
3.070 -0.833 3.821
1.432 3.771 2.906
Ca Os Cl
1 1 1
Direct
0.750 0.750 0.750
0.500 0.500 0.500
0.000 0.000 0.000
```

Energy relative to the elements, uncorrected ... 21.2 kcal/mol of atoms
E above lowest polymorph ... 723 meV per atom
Density ... 5.08 g cm⁻³
Magnetization ... 3.0 μB/f.u.

=====

Record 4
The following is a DFT calculation (PBE) of a relaxed CaOs2Cl crystal.

POSCAR file:
```
CaOs2Cl
1.0
6.119 0.013 0.000
-4.132 4.513 0.000
0.000 0.000 2.816
Os Ca Cl
2 1 1
Direct
0.500 0.500 0.000
0.000 0.000 0.000
0.500 0.000 0.500
0.000 0.500 0.500
```

Energy relative to the elements, uncorrected ... 17.8 kcal/mol of atoms
E above lowest polymorph ... 848 meV per atom
Density ... 9.72 g cm⁻³
Magnetization ... 0.0 μB/f.u.

=====

Record 5
The following is a DFT calculation (PBE) of a relaxed CaOs2Cl crystal.

POSCAR file:
```
CaOs2Cl
1.0
3.645 0.000 0.000
0.000 2.965 -0.063
0.000 1.658 7.565
Cl Os Ca
1 2 1
Direct
0.500 0.959 0.704
0.500 0.209 0.209
0.000 0.772 0.084
0.000 0.560 0.503
```

Energy relative to the elements, uncorrected ... -0.9 kcal/mol of atoms
E above lowest polymorph ... 39 meV per atom
Density ... 9.22 g cm⁻³
Magnetization ... 0.0 μB/f.u.

=====

Record 6
The following is a DFT calculation (PBE) of a relaxed CaOs2Cl crystal.

POSCAR file:
```
CaOs2Cl
1.0
7.053 0.005 -0.006
6.469 2.810 -0.006
1.266 0.264 3.990
Ca Os Cl
1 2 1
Direct
0.250 0.250 0.250
0.972 0.972 0.028
0.528 0.528 0.472
0.750 0.750 0.750
```

Energy relative to the elements, uncorrected ... 3.2 kcal/mol of atoms
E above lowest polymorph ... 215 meV per atom
Density ... 9.59 g cm⁻³
Magnetization ... 0.0 μB/f.u.

=====

Record 7
The following is a DFT calculation (PBE) of a relaxed CaOs2Cl crystal.

POSCAR file:
```
CaOs2Cl
1.0
-0.202 2.171 1.906
-1.268 -2.536 0.588
7.814 -2.939 4.174
Os Ca Cl
2 1 1
Direct
0.000 0.000 0.983
0.000 0.000 0.517
0.500 0.500 0.250
0.500 0.500 0.750
```

Energy relative to the elements, uncorrected ... 24.9 kcal/mol of atoms
E above lowest polymorph ... 1157 meV per atom
Density ... 11.11 g cm⁻³
Magnetization ... 0.0 μB/f.u.

=====

Record 8
The following is a DFT calculation (PBE) of a relaxed CaOs2Cl crystal.

POSCAR file:
```
CaOs2Cl
1.0
9.408 0.010 0.006
8.957 2.880 0.006
8.957 1.409 2.511
Os Cl Ca
2 1 1
Direct
0.006 0.006 0.006
0.494 0.494 0.494
0.750 0.750 0.750
0.250 0.250 0.250
```

Energy relative to the elements, uncorrected ... 23.1 kcal/mol of atoms
E above lowest polymorph ... 1079 meV per atom
Density ... 11.19 g cm⁻³
Magnetization ... 0.0 μB/f.u.